Record 1
! PBE NpInB, relaxed; values from VASP
! space group = F-43m (216)
! distance to the lowest polymorph of the same formula = 0 meV per atom
&SYSTEM
  ibrav = 0, nat = 3, ntyp = 3
/
ATOMIC_SPECIES
Np 237.00 Np.upf
B 10.81 B.upf
In 114.82 In.upf
CELL_PARAMETERS angstrom
0.000 3.075 3.075
3.075 0.000 3.075
3.075 3.075 0.000
ATOMIC_POSITIONS crystal
Np 0.750 0.750 0.750
B 0.000 0.000 0.000
In 0.250 0.250 0.250

Record 2
! PBE NaTmZnTe3, relaxed; values from VASP
! space group = Pnma (62)
! distance to the lowest polymorph of the same formula = 1 meV per atom
&SYSTEM
  ibrav = 0, nat = 24, ntyp = 4
/
ATOMIC_SPECIES
Te 127.60 Te.upf
Na 22.99 Na.upf
Tm 168.93 Tm.upf
Zn 65.41 Zn.upf
CELL_PARAMETERS angstrom
-2.903 2.585 1.796
-4.134 -8.871 6.089
9.386 3.037 10.798
ATOMIC_POSITIONS crystal
Te 0.250 0.052 0.886
Te 0.750 0.448 0.386
Na 0.250 0.768 0.013
Na 0.250 0.268 0.487
Te 0.250 0.552 0.614
Te 0.750 0.578 0.109
Tm 0.250 0.013 0.253
Te 0.250 0.261 0.166
Zn 0.750 0.260 0.281
Tm 0.750 0.487 0.753
Te 0.750 0.948 0.114
Na 0.750 0.732 0.513
Zn 0.750 0.760 0.219
Te 0.750 0.078 0.391
Tm 0.750 0.987 0.747
Te 0.750 0.239 0.666
Te 0.250 0.761 0.334
Te 0.250 0.922 0.609
Te 0.750 0.739 0.834
Tm 0.250 0.513 0.247
Zn 0.250 0.240 0.781
Te 0.250 0.422 0.891
Zn 0.250 0.740 0.719
Na 0.750 0.232 0.987

Record 3
! PBE TbSm2As3, relaxed; values from VASP
! space group = P-3m1 (164)
! E = -6.20 eV per atom
&SYSTEM
  ibrav = 0, nat = 6, ntyp = 3
/
ATOMIC_SPECIES
Tb 158.93 Tb.upf
As 74.92 As.upf
Sm 150.36 Sm.upf
CELL_PARAMETERS angstrom
4.187 0.000 0.000
-2.093 3.626 0.000
0.000 0.000 10.247
ATOMIC_POSITIONS crystal
Tb 0.000 0.000 0.500
As 0.333 0.667 0.337
As 0.667 0.333 0.663
Sm 0.667 0.333 0.168
Sm 0.333 0.667 0.832
As 0.000 0.000 0.000